1.
A plane-wave DFT calculation with PBE was carried out for a relaxed YTl2Os crystal.

a = 4.9435 Å, b = 4.9435 Å, c = 4.9435 Å
α = 60.00°, β = 60.00°, γ = 60.00°
Fractional coordinates of all 4 atoms:
Y  0.0000  0.0000  0.0000
Tl  0.2500  0.2500  0.2500
Tl  0.7500  0.7500  0.7500
Os  0.5000  0.5000  0.5000

Output
The space group is Fm-3m. The calculation puts the formation energy at 0.2799 eV/atom. The value obtained for the density of states at the Fermi level is 0.793 states/eV/atom.

2.
A plane-wave DFT calculation with PBE was carried out for a relaxed KNaSe2O6 crystal.

a = 7.3953 Å, b = 7.3953 Å, c = 6.6113 Å
α = 103.34°, β = 103.34°, γ = 87.89°
Fractional coordinates of all 20 atoms:
K  0.1963  0.8037  0.7500
K  0.8037  0.1963  0.2500
Na  0.4030  0.5970  0.2500
Na  0.5970  0.4030  0.7500
Se  0.1248  0.3017  0.7741
Se  0.3017  0.1248  0.2741
Se  0.6983  0.8752  0.7259
Se  0.8752  0.6983  0.2259
O  0.0804  0.6030  0.3079
O  0.1389  0.1751  0.0568
O  0.1751  0.1389  0.5568
O  0.2930  0.4667  0.8601
O  0.3970  0.9196  0.1921
O  0.4667  0.2930  0.3601
O  0.5333  0.7070  0.6399
O  0.6030  0.0804  0.8079
O  0.7070  0.5333  0.1399
O  0.8249  0.8611  0.4432
O  0.8611  0.8249  0.9432
O  0.9196  0.3970  0.6921

Output
The space group is C2/c. The value obtained for the density of states at the Fermi level is 0.306 states/eV/atom. The value obtained for the formation energy from raw total energies is -1.07 eV per atom.

3.
A plane-wave DFT calculation with PBE was carried out for a relaxed Pm2FeSi3Pt4 crystal.

a = 4.2428 Å, b = 4.2428 Å, c = 9.9733 Å
α = 90.00°, β = 90.00°, γ = 90.00°
Fractional coordinates of all 10 atoms:
Pm  0.0000  0.5000  0.2432
Pm  0.5000  0.0000  0.7568
Fe  0.5000  0.5000  0.0000
Si  0.0000  0.0000  0.0000
Si  0.0000  0.5000  0.6315
Si  0.5000  0.0000  0.3685
Pt  0.0000  0.0000  0.5000
Pt  0.0000  0.5000  0.8699
Pt  0.5000  0.0000  0.1301
Pt  0.5000  0.5000  0.5000

Output
The space group is P-4m2. The value obtained for the density of states at the Fermi level is 0.693 states/eV/atom. The value obtained for the formation energy from raw total energies is -0.98 eV per atom.

4.
A plane-wave DFT calculation with PBE was carried out for a relaxed Lu2ZrSb crystal.

a = 10.2874 Å, b = 10.2874 Å, c = 10.2874 Å
α = 19.40°, β = 19.40°, γ = 19.40°
Fractional coordinates of all 4 atoms:
Lu  0.2485  0.2485  0.2485
Lu  0.7515  0.7515  0.7515
Zr  0.0000  0.0000  0.0000
Sb  0.5000  0.5000  0.5000

Output
The space group is R-3m. The value obtained for the density of states at the Fermi level is 0.979 states/eV/atom. The value obtained for the formation energy from raw total energies is -0.23 eV per atom.

5.
A plane-wave DFT calculation with PBE was carried out for a relaxed Zr2Bi2Br crystal.

a = 8.1430 Å, b = 8.1430 Å, c = 3.9173 Å
α = 90.00°, β = 90.00°, γ = 90.00°
Fractional coordinates of all 10 atoms:
Zr  0.1462  0.3538  0.0000
Zr  0.3538  0.8538  0.0000
Zr  0.6462  0.1462  0.0000
Zr  0.8538  0.6462  0.0000
Bi  0.1463  0.6463  0.5000
Bi  0.3537  0.1463  0.5000
Bi  0.6463  0.8537  0.5000
Bi  0.8537  0.3537  0.5000
Br  0.0000  0.0000  0.0000
Br  0.5000  0.5000  0.0000

Output
The space group is P4/mbm. The value obtained for the density of states at the Fermi level is 0.395 states/eV/atom. The value obtained for the formation energy from raw total energies is -0.42 eV per atom.

6.
A plane-wave DFT calculation with PBE was carried out for a relaxed TaTiZn2O6 crystal.

a = 5.2931 Å, b = 7.7143 Å, c = 5.3285 Å
α = 90.00°, β = 90.28°, γ = 90.00°
Fractional coordinates of all 20 atoms:
Ta  0.0000  0.0000  0.0000
Ta  0.0000  0.5000  0.0000
Ti  0.5000  0.0000  0.5000
Ti  0.5000  0.5000  0.5000
Zn  0.0169  0.2500  0.4844
Zn  0.4968  0.7500  0.0419
Zn  0.5032  0.2500  0.9581
Zn  0.9831  0.7500  0.5156
O  0.1214  0.2500  0.0611
O  0.1697  0.5630  0.3203
O  0.1697  0.9370  0.3203
O  0.3211  0.5637  0.8235
O  0.3211  0.9363  0.8235
O  0.3891  0.2500  0.5721
O  0.6109  0.7500  0.4279
O  0.6789  0.0637  0.1765
O  0.6789  0.4363  0.1765
O  0.8303  0.0630  0.6797
O  0.8303  0.4370  0.6797
O  0.8786  0.7500  0.9389

Output
The space group is P2_1/m. The value obtained for the density of states at the Fermi level is 0.353 states/eV/atom. The value obtained for the formation energy from raw total energies is -2.18 eV per atom.

7.
A plane-wave DFT calculation with PBE was carried out for a relaxed PmReO4 crystal.

a = 8.0045 Å, b = 5.5976 Å, c = 7.6706 Å
α = 90.00°, β = 103.86°, γ = 90.00°
Fractional coordinates of all 24 atoms:
Pm  0.1082  0.2502  0.4021
Pm  0.1082  0.2498  0.9021
Pm  0.8918  0.7502  0.0979
Pm  0.8918  0.7498  0.5979
Re  0.3365  0.7502  0.2090
Re  0.3365  0.7498  0.7090
Re  0.6635  0.2502  0.2910
Re  0.6635  0.2498  0.7910
O  0.1372  0.5068  0.1589
O  0.1369  0.5067  0.6595
O  0.1369  0.9933  0.1595
O  0.1372  0.9932  0.6589
O  0.3272  0.7487  0.4567
O  0.3272  0.7513  0.9567
O  0.4998  0.0005  0.2506
O  0.5002  0.9995  0.7494
O  0.5002  0.5005  0.2494
O  0.4998  0.4995  0.7506
O  0.6728  0.2487  0.0433
O  0.6728  0.2513  0.5433
O  0.8628  0.0068  0.3411
O  0.8631  0.0067  0.8405
O  0.8631  0.4933  0.3405
O  0.8628  0.4932  0.8411

Output
The space group is P2_1/c. The value obtained for the density of states at the Fermi level is 0.331 states/eV/atom. The value obtained for the formation energy from raw total energies is -2.35 eV per atom.

8.
A plane-wave DFT calculation with PBE was carried out for a relaxed Mg2AsOs crystal.

a = 3.4258 Å, b = 3.4258 Å, c = 5.6016 Å
α = 90.00°, β = 90.00°, γ = 90.00°
Fractional coordinates of all 4 atoms:
Mg  0.0000  0.0000  0.2378
Mg  0.0000  0.0000  0.7622
As  0.5000  0.5000  0.5000
Os  0.5000  0.5000  0.0000

Output
The space group is P4/mmm. The calculation puts the formation energy at 0.0675 eV/atom. The value obtained for the density of states at the Fermi level is 0.709 states/eV/atom.